CaZn2W: PBEsol geometry, SCAN.

The value obtained for the formation energy from the elements is 0.871 eV per atom. For the polymorph energy (0 for the lowest one), the calculation gives 554.7 meV per atom. The total magnetization comes out at 3.09 Bohr magnetons per cell. The total energy is -25.725 eV per atom. The density of states at the Fermi level comes out at 2.65 states/eV/f.u. The value obtained for the volume is 17.947 Å³/atom. As for the space group: F-43m, No. 216.

a = 4.6651 Å, b = 4.6651 Å, c = 4.6651 Å
α = 60.00°, β = 60.00°, γ = 60.00°
Positions (direct):
Zn: 0.0000 0.0000 0.0000
Zn: 0.7500 0.7500 0.7500
Ca: 0.5000 0.5000 0.5000
W: 0.2500 0.2500 0.2500